VASP calculation (PBE) on an optimized crystal structure of SiP.

## Properties
The uncorrected energy comes out at -0.4086 Ry/atom. The formation energy (no corrections) comes out at -0.142 eV/atom. Its space-group type is Cm, No. 8.

Geometry as POSCAR:
```
SiP
1.0
-5.1446 -2.7057 -6.4092
1.9143 -2.9518 -0.2904
-2.6850 -2.2348 5.0159
Si P
4 4
Cartesian
-1.3573 -2.8261 -1.6773 Si
-5.3572 -3.4381 -0.3670 Si
-3.6570 -2.4676 0.9758 Si
-3.0575 -3.7966 -3.0202 Si
-5.5746 -5.7015 -0.2504 P
-2.4203 -3.9010 2.2408 P
-2.0349 -1.3077 -0.1220 P
-5.1892 -3.1082 -2.6131 P
```